No. 1
Computed, not measured: an optimized crystal structure of AcZn2Bi at the PBE level of DFT.

Lattice parameters (Å, degrees): 3.888 3.888 7.076 90.00 90.00 90.00
Positions (direct):
Ac1 0.000 0.000 0.000
Zn1 0.500 0.500 0.291
Zn2 0.500 0.500 0.709
Bi1 0.000 0.000 0.500

Computed properties:
Volume ... 106.9 Å³/cell
Crystal system ... tetragonal
Uncorrected energy ... -11.2 eV per cell
Symmetry ... P4/mmm, No. 123

=====

No. 2
Computed, not measured: an optimized crystal structure of Ac2ZnBi at the PBE level of DFT.

Lattice parameters (Å, degrees): 5.756 5.756 5.756 60.00 60.00 60.00
Positions (direct):
Ac1 0.250 0.250 0.250
Ac2 0.750 0.750 0.750
Zn1 0.000 0.000 0.000
Bi1 0.500 0.500 0.500

Computed properties:
Volume ... 134.9 Å³/cell
Crystal system ... cubic
Uncorrected energy ... -15.1 eV per cell
Symmetry ... Fm-3m, No. 225
ΔE to the lowest computed polymorph ... 55.9 meV/atom